No. 1
A plane-wave DFT calculation with GGA-PBE was carried out for an optimized crystal structure of Ba2Hg5Au.

Output
energy relative to the elements: -0.44 eV/atom
E: -1.52 eV per atom

```
16
Lattice="2.4334 -9.4592 0.0000 2.4334 9.4592 0.0000 0.0000 0.0000 10.6729" Properties=species:S:1:pos:R:3 pbc="T T T"
Ba 0.0000 0.0000 0.0000
Ba 0.0000 0.0000 5.3365
Ba 2.4334 5.7768 8.0047
Ba 2.4334 -5.7768 2.6682
Hg 2.4334 5.8322 1.1656
Hg 2.4334 5.8322 4.1708
Hg 2.4334 2.7263 0.2763
Hg 2.4334 2.7263 5.0602
Hg 2.4334 1.7466 8.0047
Hg 2.4334 -1.7466 2.6682
Hg 2.4334 -2.7263 5.6128
Hg 2.4334 -2.7263 10.3966
Hg 2.4334 -5.8322 6.5021
Hg 2.4334 -5.8322 9.5073
Au 2.4334 1.0857 2.6682
Au 2.4334 -1.0857 8.0047
```

=====

No. 2
A plane-wave DFT calculation with GGA-PBE was carried out for an optimized crystal structure of Tc2PBr.

Output
formation energy without anion corrections: 0.236 eV per atom
E: -6.72 eV per atom
energy relative to the lowest polymorph listed for this composition: 0.2984 eV per atom

```
4
Lattice="3.0348 0.0000 0.0000 0.0000 3.0348 0.0000 0.0000 0.0000 6.6234" Properties=species:S:1:pos:R:3 pbc="T T T"
Tc 0.0000 0.0000 1.3137
Tc 0.0000 0.0000 5.3097
P 1.5174 1.5174 0.0000
Br 1.5174 1.5174 3.3117
```

=====

No. 3
A plane-wave DFT calculation with GGA-PBE was carried out for an optimized crystal structure of NpAgPd6.

Output
energy relative to the elements: -0.26 eV/atom
E: -6.13 eV per atom

```
8
Lattice="4.1079 0.0000 0.0000 0.0000 4.1079 0.0000 0.0000 0.0000 7.9724" Properties=species:S:1:pos:R:3 pbc="T T T"
Np 0.0000 0.0000 0.0000
Ag 0.0000 0.0000 3.9862
Pd 0.0000 2.0539 1.9824
Pd 0.0000 2.0539 5.9900
Pd 2.0539 0.0000 1.9824
Pd 2.0539 0.0000 5.9900
Pd 2.0539 2.0539 0.0000
Pd 2.0539 2.0539 3.9862
```

=====

No. 4
A plane-wave DFT calculation with GGA-PBE was carried out for an optimized crystal structure of Sm2PaRh4.

Output
energy relative to the elements: -0.53 eV/atom
E: -7.44 eV per atom

```
7
Lattice="-2.2748 2.2748 7.1924 2.2748 -2.2748 7.1924 2.2748 2.2748 -7.1924" Properties=species:S:1:pos:R:3 pbc="T T T"
Sm 0.0000 0.0000 3.3312
Sm 0.0000 0.0000 11.0536
Pa 0.0000 0.0000 7.1924
Rh 2.2748 0.0000 1.5195
Rh 2.2748 0.0000 5.6729
Rh 0.0000 2.2748 1.5195
Rh 0.0000 2.2748 5.6729
```

=====

Question: The highest E belongs to which entry?
Answer: Ba2Hg5Au

=====

Question: E of number 3 (NpAgPd6)?
Answer: -6.13 eV per atom

=====

Question: The highest E belongs to which entry?
Answer: Ba2Hg5Au

=====

Question: Look up the E of the fourth one.
Answer: -7.44 eV per atom